Entry 1:
Material: SrMg3Ta
Method: DFT, PBE-GGA
State: relaxed

a = 5.3134 Å, b = 5.3134 Å, c = 5.3134 Å
α = 90.00°, β = 90.00°, γ = 90.00°
With the nearest neighbours (Å) after each atom.
Atoms (fractional coordinates):
Sr: 0.0000 0.0000 0.0000  6 Mg 2.66
Mg: 0.0000 0.5000 0.0000  2 Sr 2.66
Mg: 0.0000 0.0000 0.5000  2 Sr 2.66
Mg: 0.5000 0.0000 0.0000  2 Sr 2.66
Ta: 0.5000 0.5000 0.5000  12 Mg 3.76

Summary:
For the formation energy from the elements, the calculation gives 2.02 eV per atom. The value obtained for the volume is 150.01 Å³/cell. The value obtained for the distance to the lowest polymorph of the same formula is 1.237 eV/atom. The space-group type is Pm-3m, No. 221. The value obtained for the total energy is -1.639 eV per atom.



Entry 2:
Material: BSBrCl2
Method: DFT, PBE-GGA
State: relaxed

a = 4.0356 Å, b = 6.5158 Å, c = 4.0356 Å
α = 90.00°, β = 90.00°, γ = 90.00°
With the nearest neighbours (Å) after each atom.
Atoms (fractional coordinates):
S: 0.5000 0.5000 0.5000  4 Br 2.85
B: 0.0000 0.0000 0.0000  4 Cl 2.02
Br: 0.0000 0.5000 0.0000  4 S 2.85
Cl: 0.0000 0.0000 0.5000  2 B 2.02
Cl: 0.5000 0.0000 0.0000  2 B 2.02

Summary:
The uncorrected formation energy comes out at 0.6560 eV per atom. The value obtained for the volume is 106.12 Å³/cell. The value obtained for the distance to the lowest polymorph of the same formula is 0.074 eV/atom. The space-group type is P4/mmm, No. 123. The value obtained for the total energy is -2.578 eV per atom.



Entry 3:
Material: CsNaY2Ir
Method: DFT, PBE-GGA
State: relaxed

a = 5.6586 Å, b = 4.9658 Å, c = 5.6586 Å
α = 90.00°, β = 90.00°, γ = 90.00°
With the nearest neighbours (Å) after each atom.
Atoms (fractional coordinates):
Cs: 0.5000 0.5000 0.5000  8 Y 3.76, 4 Ir 4.00
Y: 0.0000 0.0000 0.5000  2 Na 2.83
Y: 0.5000 0.0000 0.0000  2 Na 2.83
Ir: 0.0000 0.5000 0.0000  2 Na 2.48
Na: 0.0000 0.0000 0.0000  2 Ir 2.48

Summary:
For the formation energy from the elements, the calculation gives 1.15 eV per atom. The value obtained for the volume is 159.00 Å³/cell. The space-group type is P4/mmm, No. 123. The value obtained for the total energy is -3.646 eV per atom.



Entry 4:
Material: TaTiPt4
Method: DFT, PBE-GGA
State: relaxed

a = 2.8647 Å, b = 2.8647 Å, c = 11.6760 Å
α = 90.00°, β = 90.00°, γ = 90.00°
With the nearest neighbours (Å) after each atom.
Atoms (fractional coordinates):
Ta: 0.0000 0.0000 0.0000  8 Pt 2.78, 4 Ta 2.86
Ti: 0.5000 0.5000 0.5000  8 Pt 2.71, 4 Ti 2.86
Pt: 0.0000 0.0001 0.6544  4 Ti 2.71, 8 Pt 2.86-2.94
Pt: 0.5000 0.5000 0.8364  4 Ta 2.78, 8 Pt 2.86-2.94
Pt: 0.5000 0.5000 0.1636  4 Ta 2.78, 8 Pt 2.86-2.94
Pt: 0.0000 0.9999 0.3456  4 Ti 2.71, 8 Pt 2.86-2.94

Summary:
For the formation energy from the elements, the calculation gives -0.71 eV per atom. The value obtained for the volume is 95.82 Å³/cell. The space-group type is P4/mmm, No. 123. The value obtained for the total energy is -8.024 eV per atom.



Entry 5:
Material: Ga4Se2Cl
Method: DFT, PBE-GGA
State: relaxed

a = 5.0541 Å, b = 5.0541 Å, c = 9.3725 Å
α = 74.36°, β = 74.36°, γ = 90.00°
With the nearest neighbours (Å) after each atom.
Atoms (fractional coordinates):
Ga: 0.7371 0.7371 0.5258  1 Se 2.47
Ga: 0.2629 0.2629 0.4742  1 Se 2.47
Ga: 0.0000 0.5000 0.0000  2 Cl 2.53
Ga: 0.5000 0.0000 0.0000  2 Cl 2.53
Se: 0.5946 0.5946 0.8107  1 Ga 2.47
Se: 0.4054 0.4054 0.1893  1 Ga 2.47
Cl: 0.0000 0.0000 0.0000  4 Ga 2.53

Summary:
The uncorrected formation energy comes out at -0.0661 eV per atom. The value obtained for the volume is 221.32 Å³/cell. The space-group type is I4/mmm, No. 139. The value obtained for the total energy is -3.055 eV per atom.



Entry 6:
Material: Eu3Hg5H12
Method: DFT, PBE-GGA
State: relaxed

a = 11.5167 Å, b = 11.5167 Å, c = 11.5167 Å
α = 109.47°, β = 109.47°, γ = 109.47°
With the nearest neighbours (Å) after each atom.
Atoms (fractional coordinates):
Eu: 0.7500 0.3750 0.1250  8 H 2.47-2.48
Eu: 0.8750 0.7500 0.1250  8 H 2.47-2.48
Eu: 0.3750 0.7500 0.6250  8 H 2.47-2.48
Eu: 0.2500 0.1250 0.3750  8 H 2.47-2.48
Eu: 0.8750 0.1250 0.2500  8 H 2.47-2.48
Eu: 0.3750 0.6250 0.2500  8 H 2.47-2.48
Eu: 0.6250 0.3750 0.7500  8 H 2.47-2.48
Eu: 0.1250 0.8750 0.7500  8 H 2.47-2.48
Eu: 0.7500 0.8750 0.6250  8 H 2.47-2.48
Eu: 0.6250 0.2500 0.3750  8 H 2.47-2.48
Eu: 0.1250 0.2500 0.8750  8 H 2.47-2.48
Eu: 0.2500 0.6250 0.8750  8 H 2.47-2.48
Hg: 0.1250 0.3750 0.2500  4 H 1.86
Hg: 0.0000 0.5000 0.0000  6 H 2.60
Hg: 0.0000 0.0000 0.0000  6 H 2.60
Hg: 0.3750 0.2500 0.1250  4 H 1.86
Hg: 0.5000 0.0000 0.5000  6 H 2.60
Hg: 0.5000 0.5000 0.0000  6 H 2.60
Hg: 0.1250 0.7500 0.3750  4 H 1.86
Hg: 0.7500 0.1250 0.8750  4 H 1.86
Hg: 0.7500 0.6250 0.3750  4 H 1.86
Hg: 0.3750 0.1250 0.7500  4 H 1.86
Hg: 0.6250 0.8750 0.2500  4 H 1.86
Hg: 0.5000 0.5000 0.5000  6 H 2.60
Hg: 0.5000 0.0000 0.0000  6 H 2.60
Hg: 0.0000 0.0000 0.5000  6 H 2.60
Hg: 0.2500 0.3750 0.6250  4 H 1.86
Hg: 0.2500 0.8750 0.1250  4 H 1.86
Hg: 0.0000 0.5000 0.5000  6 H 2.60
Hg: 0.8750 0.2500 0.6250  4 H 1.86
Hg: 0.6250 0.7500 0.8750  4 H 1.86
Hg: 0.8750 0.6250 0.7500  4 H 1.86
H: 0.7528 0.1488 0.0440  1 Hg 1.86
H: 0.2912 0.5440 0.3951  1 Hg 1.86
H: 0.9560 0.3512 0.2472  1 Hg 1.86
H: 0.5440 0.2528 0.1488  1 Hg 1.86
H: 0.6040 0.7528 0.7088  1 Hg 1.86
H: 0.9560 0.6049 0.2088  1 Hg 1.86
H: 0.2912 0.7472 0.3960  1 Hg 1.86
H: 0.1049 0.8960 0.1488  1 Hg 1.86
H: 0.6049 0.9560 0.7088  1 Hg 1.86
H: 0.7528 0.6040 0.2088  1 Hg 1.86
H: 0.7472 0.4560 0.3512  1 Hg 1.86
H: 0.7912 0.8951 0.0440  1 Hg 1.86
H: 0.1488 0.7528 0.5440  1 Hg 1.86
H: 0.3512 0.3951 0.1040  1 Hg 1.86
H: 0.1040 0.8951 0.3512  1 Hg 1.86
H: 0.3960 0.1488 0.6049  1 Hg 1.86
H: 0.1040 0.2088 0.2528  1 Hg 1.86
H: 0.4560 0.7088 0.1049  1 Hg 1.86
H: 0.7912 0.8960 0.2472  1 Hg 1.86
H: 0.1488 0.3960 0.1049  1 Hg 1.86
H: 0.3512 0.9560 0.7472  1 Hg 1.86
H: 0.6049 0.6488 0.3960  1 Hg 1.86
H: 0.8951 0.7912 0.5440  1 Hg 1.86
H: 0.7472 0.2912 0.8960  1 Hg 1.86
H: 0.3951 0.3512 0.6040  1 Hg 1.86
H: 0.1049 0.2088 0.4560  1 Hg 1.86
H: 0.2528 0.7088 0.1040  1 Hg 1.86
H: 0.2088 0.1040 0.7528  1 Hg 1.86
H: 0.6488 0.0440 0.2528  1 Hg 1.86
H: 0.8512 0.6040 0.8951  1 Hg 1.86
H: 0.5440 0.2912 0.8951  1 Hg 1.86
H: 0.6040 0.8512 0.3951  1 Hg 1.86
H: 0.8960 0.7912 0.7472  1 Hg 1.86
H: 0.8960 0.1049 0.6488  1 Hg 1.86
H: 0.8512 0.2472 0.4560  1 Hg 1.86
H: 0.2088 0.1049 0.9560  1 Hg 1.86
H: 0.6488 0.6049 0.8960  1 Hg 1.86
H: 0.3951 0.0440 0.2912  1 Hg 1.86
H: 0.2472 0.3960 0.7912  1 Hg 1.86
H: 0.2528 0.5440 0.6488  1 Hg 1.86
H: 0.8951 0.1040 0.8512  1 Hg 1.86
H: 0.7088 0.2528 0.6040  1 Hg 1.86
H: 0.4560 0.7472 0.8512  1 Hg 1.86
H: 0.0440 0.3951 0.7912  1 Hg 1.86
H: 0.3960 0.2472 0.2912  1 Hg 1.86
H: 0.0440 0.6488 0.7528  1 Hg 1.86
H: 0.7088 0.4560 0.6049  1 Hg 1.86
H: 0.2472 0.8512 0.9560  1 Hg 1.86

Summary:
The value obtained for the volume is 1175.89 Å³/cell. The space-group type is Ia-3d, No. 230. The value obtained for the total energy is -3.628 eV per atom.



Entry 7:
Material: ZnP2Os
Method: DFT, PBE-GGA
State: relaxed

a = 3.1674 Å, b = 4.4721 Å, c = 3.9798 Å
α = 90.00°, β = 90.00°, γ = 90.00°
With the nearest neighbours (Å) after each atom.
Atoms (fractional coordinates):
Os: 0.0000 0.5000 0.5000  4 P 2.54, 4 Zn 2.74
P: 0.0000 0.0000 0.0000  4 Zn 2.54, 4 P 2.74
P: 0.5000 0.5000 0.0000  4 Os 2.54, 4 P 2.74
Zn: 0.5000 0.0000 0.5000  4 P 2.54, 4 Os 2.74

Summary:
For the formation energy from the elements, the calculation gives 0.56 eV per atom. The value obtained for the volume is 56.37 Å³/cell. The space-group type is Pmmm, No. 47. The value obtained for the total energy is -5.275 eV per atom.



Entry 8:
Material: Sc2Cu3Si2
Method: DFT, PBE-GGA
State: relaxed

a = 3.7424 Å, b = 3.5331 Å, c = 8.7343 Å
α = 101.67°, β = 90.00°, γ = 90.00°
With the nearest neighbours (Å) after each atom.
Atoms (fractional coordinates):
Sc: 0.0000 0.8368 0.6737  6 Si 2.68-2.91, 1 Cu 2.79
Sc: 0.0000 0.1632 0.3263  6 Si 2.68-2.91, 1 Cu 2.79
Cu: 0.5000 0.5683 0.1367  1 Cu 2.34, 1 Si 2.36
Cu: 0.5000 0.4317 0.8633  1 Cu 2.34, 1 Si 2.36
Cu: 0.0000 0.0000 0.0000  2 Sc 2.79, 8 Cu 2.83
Si: 0.5000 0.7062 0.4124  2 Si 2.32, 1 Cu 2.36
Si: 0.5000 0.2938 0.5876  2 Si 2.32, 1 Cu 2.36

Summary:
The uncorrected formation energy comes out at -0.2697 eV per atom. The value obtained for the volume is 113.10 Å³/cell. The space-group type is Cmmm, No. 65. The value obtained for the total energy is -5.384 eV per atom.



Across the entries above, Fermi-level density of states takes the values 0.730, 0.556, 1.432, 0.736, 0.519, 0.761, 0.468, 0.491 states/eV per atom, respectively.